ScIr2Br after structural relaxation. Source: Alexandria, functional GGA-PBE.

Cell lengths 3.858, 3.858, 19.951 Å; angles 90.00, 90.00, 90.00 degrees
Space group I-42d (No. 122)
One atom of each set of equivalent atoms:
1 Sc 0.000 0.000 0.000
2 Ir 0.214 0.250 0.125
3 Br 0.000 0.000 0.500

- formation energy from raw total energies (kJ/mol of atoms) = 12

---

CsZr2AlAg after structural relaxation. Source: Alexandria, functional GGA-PBE.

Cell lengths 5.463, 5.463, 4.894 Å; angles 90.00, 90.00, 90.00 degrees
Space group P4/mmm (No. 123)
One atom of each set of equivalent atoms:
1 Cs 0.000 0.000 0.000
2 Zr 0.000 0.500 0.500
3 Al 0.500 0.500 0.000
4 Ag 0.500 0.500 0.500

- formation enthalpy at 0 K (meV/atom) = 1002

---

CaCeMgSi after structural relaxation. Source: Alexandria, functional GGA-PBE.

Cell lengths 7.348, 7.348, 7.348 Å; angles 90.00, 90.00, 90.00 degrees
Space group F-43m (No. 216)
One atom of each set of equivalent atoms:
1 Ca 0.000 0.000 0.000
2 Ce 0.000 0.000 0.500
3 Mg 0.250 0.250 0.250
4 Si 0.250 0.250 0.750

- formation energy from raw total energies (kJ/mol of atoms) = -17